(1)
{"formula": "BeSiSe", "functional": "PBE-GGA", "state": "relaxed", "lattice": [[3.199, -1.866, 0.000], [3.199, 1.866, 0.000], [-0.071, 0.000, 9.498]], "species": ["Be", "Be", "Si", "Si", "Se", "Se"], "fractional_positions": [[0.000, 0.000, 0.000], [0.160, 0.160, 0.525], [0.181, 0.181, 0.278], [0.516, 0.516, 0.186], [0.663, 0.663, 0.922], [0.826, 0.826, 0.586]], "space_group": "No. 8", "formation_energy_uncorrected_ev_per_atom": -0.190, "final_energy_ev_per_atom": -4.4017, "de_polymorph_mev_per_atom": 214}

(2)
{"formula": "ScCdIn2H", "functional": "PBE-GGA", "state": "relaxed", "lattice": [[4.656, 0.000, 0.000], [0.000, 4.656, 0.000], [0.000, 0.000, 4.311]], "species": ["Sc", "Cd", "In", "In", "H"], "fractional_positions": [[0.000, 0.000, 0.000], [0.500, 0.500, 0.000], [0.000, 0.500, 0.500], [0.500, 0.000, 0.500], [0.000, 0.000, 0.500]], "space_group": "No. 123", "final_energy_ev_per_atom": -3.3246}

(3)
{"formula": "Ac3Zn2CdAg6", "functional": "PBE-GGA", "state": "relaxed", "lattice": [[6.316, 0.000, 0.000], [-3.158, 5.470, 0.000], [0.000, 0.000, 9.038]], "species": ["Ac", "Ac", "Ac", "Zn", "Zn", "Cd", "Ag", "Ag", "Ag", "Ag", "Ag", "Ag"], "fractional_positions": [[0.000, 0.000, 0.000], [0.333, 0.667, 0.618], [0.667, 0.333, 0.382], [0.333, 0.667, 0.006], [0.667, 0.333, 0.994], [0.000, 0.000, 0.500], [0.184, 0.369, 0.270], [0.184, 0.816, 0.270], [0.369, 0.184, 0.730], [0.631, 0.816, 0.270], [0.816, 0.184, 0.730], [0.816, 0.631, 0.730]], "space_group": "No. 164", "delta_e_f_ev_per_atom": -0.0866, "final_energy_ev_per_atom": -2.8279}

(4)
{"formula": "ZrHg2Ir", "functional": "PBE-GGA", "state": "relaxed", "lattice": [[-2.135, 2.135, 4.201], [2.135, -2.135, 4.201], [2.135, 2.135, -4.201]], "species": ["Zr", "Hg", "Hg", "Ir"], "fractional_positions": [[0.000, 0.000, 0.000], [0.250, 0.750, 0.500], [0.750, 0.250, 0.500], [0.500, 0.500, 0.000]], "space_group": "No. 139", "delta_e_f_ev_per_atom": -0.0319, "final_energy_ev_per_atom": -4.5351, "de_polymorph_mev_per_atom": 155}

(5)
{"formula": "Y7Ho2Er4", "functional": "PBE-GGA", "state": "relaxed", "lattice": [[6.140, 0.000, 0.000], [1.026, 7.828, 0.000], [0.040, 3.973, 8.504]], "species": ["Y", "Y", "Y", "Y", "Y", "Y", "Y", "Ho", "Ho", "Er", "Er", "Er", "Er"], "fractional_positions": [[0.000, 0.000, 0.000], [0.077, 0.538, 0.308], [0.232, 0.615, 0.923], [0.386, 0.694, 0.538], [0.614, 0.306, 0.462], [0.768, 0.385, 0.077], [0.923, 0.462, 0.692], [0.154, 0.076, 0.615], [0.846, 0.924, 0.385], [0.307, 0.152, 0.230], [0.460, 0.229, 0.846], [0.540, 0.771, 0.154], [0.693, 0.848, 0.770]], "space_group": "No. 2", "delta_e_f_ev_per_atom": 0.0224, "final_energy_ev_per_atom": -5.5665}

(6)
{"formula": "Sr2SbSe2", "functional": "PBE-GGA", "state": "relaxed", "lattice": [[-2.092, 2.092, 8.718], [2.092, -2.092, 8.718], [2.092, 2.092, -8.718]], "species": ["Sr", "Sr", "Sb", "Se", "Se"], "fractional_positions": [[0.114, 0.114, 0.000], [0.886, 0.886, 0.000], [0.500, 0.500, 0.000], [0.250, 0.750, 0.500], [0.750, 0.250, 0.500]], "space_group": "No. 139", "formation_energy_uncorrected_ev_per_atom": -1.032, "final_energy_ev_per_atom": -3.9226, "de_polymorph_mev_per_atom": 232}

(7)
{"formula": "PmGa2SiTc2", "functional": "PBE-GGA", "state": "relaxed", "lattice": [[4.505, 0.000, 0.000], [0.000, 4.505, 0.000], [0.000, 0.000, 5.642]], "species": ["Pm", "Ga", "Ga", "Si", "Tc", "Tc"], "fractional_positions": [[0.000, 0.000, 0.000], [0.500, 0.500, 0.237], [0.500, 0.500, 0.763], [0.000, 0.000, 0.500], [0.000, 0.500, 0.500], [0.500, 0.000, 0.500]], "space_group": "No. 123", "formation_energy_uncorrected_ev_per_atom": -0.301, "final_energy_ev_per_atom": -6.4606}

(8)
{"formula": "HgP", "functional": "PBE-GGA", "state": "relaxed", "lattice": [[-1.579, 2.573, 6.883], [1.579, -2.573, 6.883], [1.579, 2.573, -6.883]], "species": ["Hg", "Hg", "P", "P"], "fractional_positions": [[0.314, 0.064, 0.250], [0.686, 0.936, 0.750], [0.052, 0.302, 0.750], [0.948, 0.698, 0.250]], "space_group": "No. 74", "delta_e_f_ev_per_atom": 0.1855, "final_energy_ev_per_atom": -2.6704, "de_polymorph_mev_per_atom": 156}